Material: ReTc
Method: DFT, PBEsol
State: relaxed

```
2
Lattice="2.7355 0.0000 0.0000 -1.3678 2.3690 0.0000 0.0000 0.0000 4.4130" Properties=species:S:1:pos:R:3 pbc="T T T"
Re 0.0000 0.0000 0.0000
Tc 1.3678 0.7897 2.2065
```

Values from the calculation:
ΔE_f = -7 meV/atom
magnetization = 0.0 μB per formula unit
total energy = -12.306 eV/atom
energy above the most stable polymorph in this dataset = 0.0 meV/atom



Material: Li2Mg
Method: DFT, PBEsol
State: relaxed

```
3
Lattice="-1.7209 0.6097 2.5877 -1.1742 -3.6244 0.0731 5.2640 0.3277 1.4856" Properties=species:S:1:pos:R:3 pbc="T T T"
Li 2.5063 -0.7747 1.8493
Li -0.1374 -1.9123 2.2971
Mg 0.0000 0.0000 0.0000
```

Values from the calculation:
ΔE_f = -40 meV/atom
magnetization = 0.0 μB per formula unit
total energy = -1.924 eV/atom